Entry 1:
Entry from the Alexandria database: a relaxed structure of NaMg (GGA-PBE).

a b c (Å): 9.2189 9.2189 9.2189
angles (deg): 90.00 90.00 90.00
Fractional coordinates of all 12 atoms:
Na (0.0000, 0.2500, 0.5000)
Na (0.0000, 0.7500, 0.5000)
Na (0.2500, 0.5000, 0.0000)
Na (0.5000, 0.0000, 0.2500)
Na (0.5000, 0.0000, 0.7500)
Na (0.7500, 0.5000, 0.0000)
Mg (0.0000, 0.5000, 0.2500)
Mg (0.0000, 0.5000, 0.7500)
Mg (0.2500, 0.0000, 0.5000)
Mg (0.5000, 0.2500, 0.0000)
Mg (0.5000, 0.7500, 0.0000)
Mg (0.7500, 0.0000, 0.5000)

Output
space-group type: Pm-3n, No. 223
D(E_F): 8.61 states/eV/cell
energy of formation: 1.397 eV/f.u.
V: 783.5 Å³ per cell



Entry 2:
Entry from the Alexandria database: a relaxed structure of Na5Mg3 (GGA-PBE).

a b c (Å): 9.7703 9.7703 9.2439
angles (deg): 95.47 95.47 143.25
Fractional coordinates of all 16 atoms:
Na (0.0000, 0.0000, 0.0000)
Na (0.0020, 0.3367, 0.8156)
Na (0.1802, 0.5166, 0.2168)
Na (0.3367, 0.0020, 0.8156)
Na (0.5166, 0.1802, 0.2168)
Na (0.5179, 0.5179, 0.0315)
Na (0.5200, 0.7211, 0.6684)
Na (0.7211, 0.5200, 0.6684)
Na (0.7962, 0.9984, 0.3627)
Na (0.9984, 0.7962, 0.3627)
Mg (0.0157, 0.5041, 0.5176)
Mg (0.1493, 0.1493, 0.6580)
Mg (0.3681, 0.3681, 0.3726)
Mg (0.5041, 0.0157, 0.5176)
Mg (0.5751, 0.9405, 0.0143)
Mg (0.9405, 0.5751, 0.0143)

Output
space-group type: Cm, No. 8
D(E_F): 6.65 states/eV/cell
energy of formation: 1.104 eV/f.u.
V: 503.2 Å³ per cell
distance to the lowest polymorph of the same formula: 48 meV per atom



Entry 3:
Entry from the Alexandria database: a relaxed structure of Na17Mg2 (GGA-PBE).

a b c (Å): 9.4666 9.4666 9.4666
angles (deg): 66.07 66.07 66.07
Fractional coordinates of all 19 atoms:
Na (0.0000, 0.0000, 0.5000)
Na (0.0000, 0.3127, 0.6873)
Na (0.0000, 0.5000, 0.0000)
Na (0.0000, 0.6873, 0.3127)
Na (0.0885, 0.0885, 0.0885)
Na (0.1998, 0.5641, 0.5641)
Na (0.3127, 0.0000, 0.6873)
Na (0.3127, 0.6873, 0.0000)
Na (0.4359, 0.4359, 0.8002)
Na (0.4359, 0.8002, 0.4359)
Na (0.5000, 0.0000, 0.0000)
Na (0.5641, 0.1998, 0.5641)
Na (0.5641, 0.5641, 0.1998)
Na (0.6873, 0.0000, 0.3127)
Na (0.6873, 0.3127, 0.0000)
Na (0.8002, 0.4359, 0.4359)
Na (0.9115, 0.9115, 0.9115)
Mg (0.2856, 0.2856, 0.2856)
Mg (0.7144, 0.7144, 0.7144)

Output
space-group type: R-3m, No. 166
D(E_F): 9.35 states/eV/cell
energy of formation: 2.165 eV/f.u.
V: 678.6 Å³ per cell



Entry 4:
Entry from the Alexandria database: a relaxed structure of NaMg4 (GGA-PBE).

a b c (Å): 8.0871 8.0871 8.0871
angles (deg): 148.97 148.97 44.45
Fractional coordinates of all 5 atoms:
Na (0.0000, 0.0000, 0.0000)
Mg (0.2500, 0.7500, 0.5000)
Mg (0.3998, 0.3998, 0.0000)
Mg (0.6002, 0.6002, 0.0000)
Mg (0.7500, 0.2500, 0.5000)

Output
space-group type: I4/mmm, No. 139
D(E_F): 2.01 states/eV/cell
energy of formation: 0.920 eV/f.u.
V: 140.1 Å³ per cell
distance to the lowest polymorph of the same formula: 114 meV per atom



Entry 5:
Entry from the Alexandria database: a relaxed structure of NaMg (GGA-PBE).

a b c (Å): 3.3125 3.3125 5.2080
angles (deg): 90.00 90.00 90.00
Fractional coordinates of all 2 atoms:
Na (0.0000, 0.0000, 0.0000)
Mg (0.5000, 0.5000, 0.5000)

Output
space-group type: P4/mmm, No. 123
D(E_F): 0.85 states/eV/cell
energy of formation: 0.233 eV/f.u.
V: 57.1 Å³ per cell



Entry 6:
Entry from the Alexandria database: a relaxed structure of NaMg (GGA-PBE).

a b c (Å): 3.2829 3.2829 12.1594
angles (deg): 90.00 90.00 120.00
Fractional coordinates of all 4 atoms:
Na (0.3333, 0.6667, 0.0000)
Na (0.6667, 0.3333, 0.5000)
Mg (0.3333, 0.6667, 0.2633)
Mg (0.6667, 0.3333, 0.7634)

Output
space-group type: P6_3mc, No. 186
D(E_F): 2.43 states/eV/cell
energy of formation: 0.331 eV/f.u.
V: 113.5 Å³ per cell



Entry 7:
Entry from the Alexandria database: a relaxed structure of Na5Mg3 (GGA-PBE).

a b c (Å): 6.8431 6.8431 5.2247
angles (deg): 90.00 90.00 99.35
Fractional coordinates of all 8 atoms:
Na (0.0000, 0.0000, 0.0000)
Na (0.0000, 0.5000, 0.0000)
Na (0.2268, 0.7732, 0.5000)
Na (0.5000, 0.0000, 0.0000)
Na (0.7732, 0.2268, 0.5000)
Mg (0.2984, 0.2984, 0.5000)
Mg (0.5000, 0.5000, 0.0000)
Mg (0.7016, 0.7016, 0.5000)

Output
space-group type: Cmmm, No. 65
D(E_F): 2.78 states/eV/cell
energy of formation: 0.718 eV/f.u.
V: 241.4 Å³ per cell
distance to the lowest polymorph of the same formula: 0 meV per atom



Entry 8:
Entry from the Alexandria database: a relaxed structure of NaMg5 (GGA-PBE).

a b c (Å): 5.9986 5.9986 5.9986
angles (deg): 60.00 60.00 60.00
Fractional coordinates of all 6 atoms:
Na (0.0000, 0.0000, 0.0000)
Mg (0.1269, 0.6244, 0.6244)
Mg (0.2500, 0.2500, 0.2500)
Mg (0.6244, 0.1269, 0.6244)
Mg (0.6244, 0.6244, 0.1269)
Mg (0.6244, 0.6244, 0.6244)

Output
space-group type: F-43m, No. 216
D(E_F): 2.71 states/eV/cell
energy of formation: 0.510 eV/f.u.
V: 152.6 Å³ per cell
distance to the lowest polymorph of the same formula: 43 meV per atom



Entry 9:
Entry from the Alexandria database: a relaxed structure of NaMg (GGA-PBE).

a b c (Å): 5.6086 5.6086 6.4263
angles (deg): 90.00 90.00 120.00
Fractional coordinates of all 4 atoms:
Na (0.3333, 0.6667, 0.2500)
Na (0.6667, 0.3333, 0.7500)
Mg (0.3333, 0.6667, 0.7500)
Mg (0.6667, 0.3333, 0.2500)

Output
space-group type: P6_3/mmc, No. 194
D(E_F): 2.14 states/eV/cell
energy of formation: 1.052 eV/f.u.
V: 175.1 Å³ per cell



Entry 10:
Entry from the Alexandria database: a relaxed structure of NaMg (GGA-PBE).

a b c (Å): 6.1757 8.0736 9.2526
angles (deg): 90.00 90.00 90.00
Fractional coordinates of all 16 atoms:
Na (0.0001, 0.0666, 0.1908)
Na (0.9999, 0.5666, 0.3092)
Na (0.0007, 0.3871, 0.0051)
Na (0.4993, 0.6129, 0.5051)
Na (0.5001, 0.4334, 0.8092)
Na (0.4999, 0.9334, 0.6908)
Na (0.5007, 0.1129, 0.9949)
Na (0.9993, 0.8871, 0.4949)
Mg (0.0001, 0.0618, 0.8018)
Mg (0.9999, 0.5618, 0.6982)
Mg (0.2493, 0.2500, 0.5027)
Mg (0.2507, 0.7500, 0.0027)
Mg (0.5001, 0.4382, 0.1982)
Mg (0.4999, 0.9382, 0.3018)
Mg (0.7493, 0.2500, 0.4973)
Mg (0.7507, 0.7500, 0.9973)

Output
space-group type: P2_12_12_1, No. 19
D(E_F): 6.10 states/eV/cell
energy of formation: 0.283 eV/f.u.
V: 461.3 Å³ per cell



Entry 11:
Entry from the Alexandria database: a relaxed structure of NaMg (GGA-PBE).

a b c (Å): 7.1858 7.1858 4.9674
angles (deg): 90.00 90.00 154.15
Fractional coordinates of all 4 atoms:
Na (0.0700, 0.9300, 0.7500)
Na (0.9300, 0.0700, 0.2500)
Mg (0.3016, 0.6984, 0.7500)
Mg (0.6984, 0.3016, 0.2500)

Output
space-group type: Cmcm, No. 63
D(E_F): 2.05 states/eV/cell
energy of formation: 0.203 eV/f.u.
V: 111.8 Å³ per cell



Entry 12:
Entry from the Alexandria database: a relaxed structure of NaMg (GGA-PBE).

a b c (Å): 9.7889 9.7889 9.7889
angles (deg): 91.50 91.50 161.38
Fractional coordinates of all 8 atoms:
Na (0.0542, 0.3340, 0.3882)
Na (0.3340, 0.9458, 0.2798)
Na (0.6660, 0.0542, 0.7202)
Na (0.9458, 0.6660, 0.6118)
Mg (0.1586, 0.7832, 0.9418)
Mg (0.2168, 0.1586, 0.3754)
Mg (0.7832, 0.8414, 0.6246)
Mg (0.8414, 0.2168, 0.0582)

Output
space-group type: I4/m, No. 87
D(E_F): 4.16 states/eV/cell
energy of formation: 0.567 eV/f.u.
V: 295.5 Å³ per cell



> Among the records above, which one has the lowest energy of formation?

number 11